1.
VASP calculation (PBE) on a relaxed structure of ScMo8W2.

Computed properties:
- total magnetic moment (μB/f.u.) = 0.000
- symmetry = No. 2
- E (eV/atom) = -10.82

The structure in CIF format:
```
data_ScMo8W2
_chemical_formula_sum 'Sc1 Mo8 W2'
_cell_length_a 3.182
_cell_length_b 7.122
_cell_length_c 8.303
_cell_angle_alpha 75.09
_cell_angle_beta 78.98
_cell_angle_gamma 89.91
_symmetry_space_group_name_H-M 'P 1'
_symmetry_Int_Tables_number 1
_symmetry_space_group_name_Hall 'P 1'
loop_
_atom_site_label
_atom_site_fract_x
_atom_site_fract_y
_atom_site_fract_z
Mo1 0.091 0.455 0.788
Mo2 0.450 0.281 0.067
Mo3 0.180 0.911 0.608
Mo4 0.909 0.545 0.151
Mo5 0.358 0.812 0.252
Mo6 0.819 0.090 0.332
Mo7 0.641 0.189 0.688
Mo8 0.549 0.719 0.872
Sc1 0.000 0.000 0.970
W1 0.271 0.362 0.427
W2 0.728 0.639 0.512
```

2.
VASP calculation (PBE) on a relaxed structure of ScMo2W.

Computed properties:
- total magnetic moment (μB/f.u.) = 0.001
- distance to the lowest polymorph of the same formula (meV per atom) = 79
- symmetry = No. 123

The structure in CIF format:
```
data_ScMo2W
_chemical_formula_sum 'Sc1 Mo2 W1'
_cell_length_a 4.603
_cell_length_b 4.603
_cell_length_c 3.153
_cell_angle_alpha 90.00
_cell_angle_beta 90.00
_cell_angle_gamma 89.99
_symmetry_space_group_name_H-M 'P 1'
_symmetry_Int_Tables_number 1
_symmetry_space_group_name_Hall 'P 1'
loop_
_atom_site_label
_atom_site_fract_x
_atom_site_fract_y
_atom_site_fract_z
Mo1 0.500 0.500 0.000
Mo2 0.000 0.000 0.000
W1 0.000 0.500 0.500
Sc1 0.500 0.000 0.500
```

3.
VASP calculation (PBE) on a relaxed structure of ScMoW.

Computed properties:
- total magnetic moment (μB/f.u.) = 0.000
- distance to the lowest polymorph of the same formula (meV per atom) = 279
- symmetry = No. 44

The structure in CIF format:
```
data_ScMoW
_chemical_formula_sum 'Sc1 Mo1 W1'
_cell_length_a 4.896
_cell_length_b 4.896
_cell_length_c 4.896
_cell_angle_alpha 147.81
_cell_angle_beta 121.92
_cell_angle_gamma 67.98
_symmetry_space_group_name_H-M 'P 1'
_symmetry_Int_Tables_number 1
_symmetry_space_group_name_Hall 'P 1'
loop_
_atom_site_label
_atom_site_fract_x
_atom_site_fract_y
_atom_site_fract_z
W1 0.672 0.672 0.000
Sc1 0.331 0.331 0.000
Mo1 0.997 0.997 0.000
```

4.
VASP calculation (PBE) on a relaxed structure of ScMo2W2.

Computed properties:
- total magnetic moment (μB/f.u.) = 0.000
- distance to the lowest polymorph of the same formula (meV per atom) = 119
- symmetry = No. 12

The structure in CIF format:
```
data_ScMo2W2
_chemical_formula_sum 'Sc1 Mo2 W2'
_cell_length_a 4.925
_cell_length_b 4.925
_cell_length_c 5.762
_cell_angle_alpha 55.00
_cell_angle_beta 55.00
_cell_angle_gamma 81.79
_symmetry_space_group_name_H-M 'P 1'
_symmetry_Int_Tables_number 1
_symmetry_space_group_name_Hall 'P 1'
loop_
_atom_site_label
_atom_site_fract_x
_atom_site_fract_y
_atom_site_fract_z
W1 0.808 0.192 0.500
W2 0.192 0.808 0.500
Mo1 0.501 0.501 0.774
Mo2 0.499 0.499 0.226
Sc1 0.000 0.000 0.000
```

5.
VASP calculation (PBE) on a relaxed structure of Sc4MoW.

Computed properties:
- total magnetic moment (μB/f.u.) = 0.000
- symmetry = No. 216
- E (eV/atom) = -7.41

The structure in CIF format:
```
data_Sc4MoW
_chemical_formula_sum 'Sc4 Mo1 W1'
_cell_length_a 5.490
_cell_length_b 5.490
_cell_length_c 5.490
_cell_angle_alpha 60.00
_cell_angle_beta 60.00
_cell_angle_gamma 60.00
_symmetry_space_group_name_H-M 'P 1'
_symmetry_Int_Tables_number 1
_symmetry_space_group_name_Hall 'P 1'
loop_
_atom_site_label
_atom_site_fract_x
_atom_site_fract_y
_atom_site_fract_z
Sc1 0.874 0.375 0.375
Sc2 0.375 0.375 0.375
Sc3 0.375 0.874 0.375
Sc4 0.375 0.375 0.874
Mo1 0.000 0.000 0.000
W1 0.750 0.750 0.750
```

6.
VASP calculation (PBE) on a relaxed structure of ScMo2W.

Computed properties:
- total magnetic moment (μB/f.u.) = 0.000
- distance to the lowest polymorph of the same formula (meV per atom) = 39
- symmetry = No. 6

The structure in CIF format:
```
data_ScMo2W
_chemical_formula_sum 'Sc1 Mo2 W1'
_cell_length_a 4.564
_cell_length_b 2.794
_cell_length_c 5.363
_cell_angle_alpha 79.26
_cell_angle_beta 90.00
_cell_angle_gamma 90.00
_symmetry_space_group_name_H-M 'P 1'
_symmetry_Int_Tables_number 1
_symmetry_space_group_name_Hall 'P 1'
loop_
_atom_site_label
_atom_site_fract_x
_atom_site_fract_y
_atom_site_fract_z
Mo1 0.000 0.005 0.998
Mo2 0.500 0.225 0.248
Sc1 0.000 0.492 0.499
W1 0.500 0.778 0.755
```

7.
VASP calculation (PBE) on a relaxed structure of ScMoW.

Computed properties:
- total magnetic moment (μB/f.u.) = 0.000
- distance to the lowest polymorph of the same formula (meV per atom) = 89
- symmetry = No. 63

The structure in CIF format:
```
data_ScMoW
_chemical_formula_sum 'Sc2 Mo2 W2'
_cell_length_a 4.556
_cell_length_b 4.638
_cell_length_c 5.440
_cell_angle_alpha 90.00
_cell_angle_beta 114.75
_cell_angle_gamma 90.00
_symmetry_space_group_name_H-M 'P 1'
_symmetry_Int_Tables_number 1
_symmetry_space_group_name_Hall 'P 1'
loop_
_atom_site_label
_atom_site_fract_x
_atom_site_fract_y
_atom_site_fract_z
Sc1 0.914 0.250 0.829
Sc2 0.086 0.750 0.171
W1 0.602 0.250 0.205
W2 0.398 0.750 0.795
Mo1 0.752 0.750 0.503
Mo2 0.248 0.250 0.497
```

8.
VASP calculation (PBE) on a relaxed structure of ScMo2W.

Computed properties:
- total magnetic moment (μB/f.u.) = 0.000
- distance to the lowest polymorph of the same formula (meV per atom) = 44
- symmetry = No. 71

The structure in CIF format:
```
data_ScMo2W
_chemical_formula_sum 'Sc1 Mo2 W1'
_cell_length_a 5.340
_cell_length_b 5.340
_cell_length_c 5.340
_cell_angle_alpha 145.22
_cell_angle_beta 127.98
_cell_angle_gamma 64.11
_symmetry_space_group_name_H-M 'P 1'
_symmetry_Int_Tables_number 1
_symmetry_space_group_name_Hall 'P 1'
loop_
_atom_site_label
_atom_site_fract_x
_atom_site_fract_y
_atom_site_fract_z
Mo1 0.013 0.013 0.000
Mo2 0.487 0.487 0.000
W1 0.250 0.750 0.500
Sc1 0.750 0.250 0.500
```

9.
VASP calculation (PBE) on a relaxed structure of ScMo2W.

Computed properties:
- total magnetic moment (μB/f.u.) = 0.000
- distance to the lowest polymorph of the same formula (meV per atom) = 42
- symmetry = No. 10

The structure in CIF format:
```
data_ScMo2W
_chemical_formula_sum 'Sc1 Mo2 W1'
_cell_length_a 4.467
_cell_length_b 2.799
_cell_length_c 5.459
_cell_angle_alpha 80.64
_cell_angle_beta 90.00
_cell_angle_gamma 90.00
_symmetry_space_group_name_H-M 'P 1'
_symmetry_Int_Tables_number 1
_symmetry_space_group_name_Hall 'P 1'
loop_
_atom_site_label
_atom_site_fract_x
_atom_site_fract_y
_atom_site_fract_z
Sc1 0.500 0.250 0.250
W1 0.500 0.750 0.750
Mo1 0.000 0.979 0.994
Mo2 0.000 0.521 0.506
```

10.
VASP calculation (PBE) on a relaxed structure of ScMo8W4.

Computed properties:
- total magnetic moment (μB/f.u.) = 0.000
- symmetry = No. 2
- E (eV/atom) = -10.59

The structure in CIF format:
```
data_ScMo8W4
_chemical_formula_sum 'Sc1 Mo8 W4'
_cell_length_a 6.238
_cell_length_b 5.408
_cell_length_c 10.536
_cell_angle_alpha 99.78
_cell_angle_beta 107.28
_cell_angle_gamma 125.25
_symmetry_space_group_name_H-M 'P 1'
_symmetry_Int_Tables_number 1
_symmetry_space_group_name_Hall 'P 1'
loop_
_atom_site_label
_atom_site_fract_x
_atom_site_fract_y
_atom_site_fract_z
Mo1 0.503 0.756 0.249
Mo2 0.001 0.757 0.756
Mo3 0.999 0.243 0.244
Mo4 0.497 0.244 0.751
Mo5 0.488 0.243 0.244
Mo6 0.512 0.757 0.756
Mo7 0.005 0.260 0.752
Mo8 0.995 0.740 0.248
W1 0.000 0.500 0.000
W2 0.500 0.000 0.000
W3 0.500 0.500 0.000
W4 0.000 0.000 0.000
Sc1 0.000 0.500 0.500
```

11.
VASP calculation (PBE) on a relaxed structure of ScMo2W.

Computed properties:
- total magnetic moment (μB/f.u.) = 0.000
- distance to the lowest polymorph of the same formula (meV per atom) = 19
- symmetry = No. 225

The structure in CIF format:
```
data_ScMo2W
_chemical_formula_sum 'Sc1 Mo2 W1'
_cell_length_a 4.551
_cell_length_b 4.551
_cell_length_c 4.551
_cell_angle_alpha 60.00
_cell_angle_beta 60.00
_cell_angle_gamma 60.00
_symmetry_space_group_name_H-M 'P 1'
_symmetry_Int_Tables_number 1
_symmetry_space_group_name_Hall 'P 1'
loop_
_atom_site_label
_atom_site_fract_x
_atom_site_fract_y
_atom_site_fract_z
Mo1 0.750 0.750 0.750
Mo2 0.250 0.250 0.250
Sc1 0.000 0.000 0.000
W1 0.500 0.500 0.500
```

12.
VASP calculation (PBE) on a relaxed structure of ScMo2W.

Computed properties:
- total magnetic moment (μB/f.u.) = 0.000
- distance to the lowest polymorph of the same formula (meV per atom) = 50
- symmetry = No. 35

The structure in CIF format:
```
data_ScMo2W
_chemical_formula_sum 'Sc1 Mo2 W1'
_cell_length_a 2.793
_cell_length_b 2.793
_cell_length_c 9.212
_cell_angle_alpha 90.00
_cell_angle_beta 90.00
_cell_angle_gamma 109.12
_symmetry_space_group_name_H-M 'P 1'
_symmetry_Int_Tables_number 1
_symmetry_space_group_name_Hall 'P 1'
loop_
_atom_site_label
_atom_site_fract_x
_atom_site_fract_y
_atom_site_fract_z
Mo1 0.500 0.500 0.236
Mo2 0.000 0.000 0.001
Sc1 0.000 0.000 0.499
W1 0.500 0.500 0.764
```